1.
The following is a PBE calculation of an optimized crystal structure of Ta2OsAuN, from Alexandria.

The structure in POSCAR format:
```
Ta2OsAuN
1.0
5.0676 0.0000 0.0000
0.0000 5.0676 0.0000
0.0000 0.0000 3.6505
Ta Os Au N
2 1 1 1
direct
0.0000 0.5000 0.0000
0.5000 0.0000 0.0000
0.0000 0.0000 0.0000
0.5000 0.5000 0.5000
0.0000 0.0000 0.5000
```

Calculated values
Uncorrected formation energy = 0.9682 eV/atom

=====

2.
The following is a PBE calculation of an optimized crystal structure of Ce3Zn5H12, from Alexandria.

The structure in POSCAR format:
```
Ce3Zn5H12
1.0
-6.1675 6.1675 6.1675
6.1675 -6.1675 6.1675
6.1675 6.1675 -6.1675
Ce Zn H
12 20 48
direct
0.1250 0.2500 0.3750
0.1250 0.3750 0.7500
0.2500 0.3750 0.1250
0.2500 0.8750 0.6250
0.3750 0.1250 0.2500
0.3750 0.7500 0.1250
0.6250 0.2500 0.8750
0.6250 0.8750 0.7500
0.7500 0.1250 0.3750
0.7500 0.6250 0.8750
0.8750 0.6250 0.2500
0.8750 0.7500 0.6250
0.0000 0.0000 0.0000
0.0000 0.0000 0.5000
0.0000 0.5000 0.0000
0.0000 0.5000 0.5000
0.1250 0.7500 0.8750
0.1250 0.8750 0.2500
0.2500 0.1250 0.8750
0.2500 0.6250 0.3750
0.3750 0.2500 0.6250
0.3750 0.6250 0.7500
0.5000 0.0000 0.0000
0.5000 0.0000 0.5000
0.5000 0.5000 0.0000
0.5000 0.5000 0.5000
0.6250 0.3750 0.2500
0.6250 0.7500 0.3750
0.7500 0.3750 0.6250
0.7500 0.8750 0.1250
0.8750 0.1250 0.7500
0.8750 0.2500 0.1250
0.0351 0.2407 0.1398
0.0351 0.2943 0.8952
0.1009 0.7407 0.7057
0.1009 0.8602 0.3952
0.1048 0.6398 0.3991
0.1048 0.9649 0.7057
0.1398 0.0351 0.2407
0.1398 0.6048 0.8991
0.2057 0.2407 0.6009
0.2057 0.4649 0.6048
0.2407 0.1398 0.0351
0.2407 0.6009 0.2057
0.2593 0.2943 0.8991
0.2593 0.4649 0.3602
0.2943 0.8952 0.0351
0.2943 0.8991 0.2593
0.3602 0.2593 0.4649
0.3602 0.6009 0.8952
0.3952 0.1009 0.8602
0.3952 0.7943 0.5351
0.3991 0.1048 0.6398
0.3991 0.7943 0.7593
0.4649 0.3602 0.2593
0.4649 0.6048 0.2057
0.5351 0.3952 0.7943
0.5351 0.6398 0.7407
0.6009 0.2057 0.2407
0.6009 0.8952 0.3602
0.6048 0.2057 0.4649
0.6048 0.8991 0.1398
0.6398 0.3991 0.1048
0.6398 0.7407 0.5351
0.7057 0.1009 0.7407
0.7057 0.1048 0.9649
0.7407 0.5351 0.6398
0.7407 0.7057 0.1009
0.7593 0.3991 0.7943
0.7593 0.8602 0.9649
0.7943 0.5351 0.3952
0.7943 0.7593 0.3991
0.8602 0.3952 0.1009
0.8602 0.9649 0.7593
0.8952 0.0351 0.2943
0.8952 0.3602 0.6009
0.8991 0.1398 0.6048
0.8991 0.2593 0.2943
0.9649 0.7057 0.1048
0.9649 0.7593 0.8602
```

Calculated values
E = -3.3219 eV/atom

=====

3.
The following is a PBE calculation of an optimized crystal structure of Sc5Cd2In2, from Alexandria.

The structure in POSCAR format:
```
Sc5Cd2In2
1.0
7.6629 -3.7939 0.0000
7.6629 3.7939 0.0000
0.0000 0.0000 7.4570
Sc Cd In
10 4 4
direct
0.0000 0.0000 0.0000
0.0473 0.6797 0.6745
0.1797 0.5473 0.1745
0.3203 0.9527 0.6745
0.4527 0.8203 0.1745
0.5000 0.5000 0.5000
0.5473 0.1797 0.8255
0.6797 0.0473 0.3255
0.8203 0.4527 0.8255
0.9527 0.3203 0.3255
0.2135 0.2135 0.0000
0.2865 0.2865 0.5000
0.7135 0.7135 0.5000
0.7865 0.7865 0.0000
0.1299 0.8701 0.3697
0.3701 0.6299 0.8697
0.6299 0.3701 0.1303
0.8701 0.1299 0.6303
```

Calculated values
Energy of formation = -2.06 eV per formula unit

=====

4.
The following is a PBE calculation of an optimized crystal structure of Ac2ErAs4Pd3, from Alexandria.

The structure in POSCAR format:
```
Ac2ErAs4Pd3
1.0
4.5461 0.0000 0.0000
0.0000 4.5461 0.0000
0.0000 0.0000 10.9168
Ac Er As Pd
2 1 4 3
direct
0.0000 0.5000 0.2199
0.5000 0.0000 0.7801
0.0000 0.0000 0.5000
0.0000 0.0000 0.0000
0.0000 0.5000 0.6501
0.5000 0.0000 0.3499
0.5000 0.5000 0.0000
0.0000 0.5000 0.8867
0.5000 0.0000 0.1133
0.5000 0.5000 0.5000
```

Calculated values
Energy of formation = -10.12 eV per formula unit